This record from the Alexandria database describes a geometry-optimized AcLa2Sm4Ho structure. The functional is PBE.

Calculated values
energy of formation from the pure elements = 0.12 eV per atom

Cell and atoms, written as POSCAR:
```
AcLa2Sm4Ho
1.0
-1.4225 -4.9954 -3.1886
5.0775 0.6524 -3.2873
8.9074 -3.6633 1.7651
Sm Ac La Ho
4 1 2 1
Cartesian
7.1847 -5.0233 -1.1602
2.1261 -5.8061 -3.5015
10.4363 -2.2000 -1.2093
5.3777 -2.9829 -3.5506
10.7349 -5.8347 -1.4728
3.7424 -4.3293 -0.7117
8.9074 -3.6632 1.7651
6.9924 -1.5054 -0.7611
```


This record from the Alexandria database describes a geometry-optimized AcNdIrPd structure. The functional is PBE.

Calculated values
energy of formation from the pure elements = -0.71 eV per atom

Cell and atoms, written as POSCAR:
```
AcNdIrPd
1.0
4.0202 0.0000 0.0000
0.0000 4.5336 0.0000
-2.0101 0.0000 5.6013
Ac Nd Ir Pd
1 1 1 1
Cartesian
0.0000 0.0000 1.5726
2.0101 2.2668 4.1004
0.0000 0.0000 4.6034
2.0101 2.2668 0.9263
```


This record from the Alexandria database describes a geometry-optimized Sn4Se5I structure. The functional is PBE.

Calculated values
formation energy from raw total energies = -0.289 eV/atom

Cell and atoms, written as POSCAR:
```
Sn4Se5I
1.0
-1.7115 -4.0214 0.0949
0.4396 -0.3971 -8.8977
14.5386 -6.1642 0.9934
Se I Sn
10 2 8
Cartesian
12.0271 -5.6440 -1.5349
8.2891 -7.8221 -1.3290
3.3841 -5.7425 -1.6641
2.3935 -1.5595 -2.1932
12.2324 -5.8295 -5.6916
6.6073 -4.6375 0.5334
8.5233 -8.0337 -6.0700
-0.8297 -2.6645 -4.3907
2.5988 -1.7450 -6.3498
3.6184 -5.9541 -6.4051
6.8231 -4.8454 -3.9152
-1.0455 -2.4566 0.0580
10.7993 -7.6900 -3.5919
6.0038 -7.1573 -6.2706
9.5168 -5.7761 0.7279
0.2134 -0.5417 -6.4844
2.0113 -3.9640 -4.1923
0.0116 -0.3595 -2.4014
3.7663 -3.3379 0.3350
5.7659 -6.9425 -1.4558
```


This record from the Alexandria database describes a geometry-optimized TmMg12Sc3 structure. The functional is PBE.

Calculated values
energy of formation from the pure elements = -0.04 eV per atom

Cell and atoms, written as POSCAR:
```
TmMg12Sc3
1.0
-4.2680 -1.3965 0.3315
1.4212 -3.9659 1.5899
-0.8253 6.6139 17.2354
Sc Mg Tm
3 12 1
Cartesian
-0.2089 1.6741 4.3627
-0.4126 3.3069 8.6177
-0.6164 4.9398 12.8728
-0.0081 3.7770 15.8051
-1.6324 -1.0065 5.3250
0.6041 -1.1290 3.0202
-1.4234 -2.6812 0.9607
-2.8527 5.0617 15.1760
0.1964 2.1383 11.5348
-2.4450 1.7943 6.6614
-2.2405 0.1556 2.3910
-2.0397 2.2579 13.8319
-1.8360 0.6257 9.5785
0.3996 0.5096 7.2905
-2.6482 3.4230 10.9056
0.0000 0.0000 0.0000
```


Number 1: calculated volume 284 Å³/cell, calculated total energy -36.5 eV/cell. Number 2: calculated volume 102 Å³/cell, calculated total energy -25.8 eV/cell. Number 3: calculated volume 617 Å³/cell, calculated total energy -75.7 eV/cell. Number 4: calculated volume 375 Å³/cell, calculated total energy -43.3 eV/cell.